# Mg2ScP PBE optimized geometry
# E: -16.4 eV for the cell shown
# Fermi-level density of states: 1.5 states/eV per cell
# Formation enthalpy at 0 K: -0.3633 eV/atom
data_Mg2ScP
_space_group_name_H-M_alt 'P 1 2/m 1'
_space_group_IT_number 10
_cell_length_a 5.1294
_cell_length_b 3.8451
_cell_length_c 5.3449
_cell_angle_alpha 90.00
_cell_angle_beta 118.59
_cell_angle_gamma 90.00
loop_
_space_group_symop_operation_xyz
'x,y,z'
'-x,-y,-z'
'-x,y,-z'
'x,-y,z'
loop_
_atom_site_label
_atom_site_fract_x
_atom_site_fract_y
_atom_site_fract_z
Mg1 0.1768 0.0000 0.3534
Sc1 0.5000 0.5000 0.0000
P1 0.0000 0.5000 0.0000

# Mg2ScP PBE optimized geometry
# E: -32.8 eV for the cell shown
# Fermi-level density of states: 4.8 states/eV per cell
# Formation enthalpy at 0 K: -0.3636 eV/atom
data_Mg2ScP
_space_group_name_H-M_alt 'C m m 2'
_space_group_IT_number 35
_cell_length_a 4.1838
_cell_length_b 5.0943
_cell_length_c 7.9744
_cell_angle_alpha 90.00
_cell_angle_beta 90.00
_cell_angle_gamma 90.00
loop_
_space_group_symop_operation_xyz
'x,y,z'
'-x,-y,z'
'-x,y,z'
'x,-y,z'
'x+1/2,y+1/2,z'
'-x+1/2,-y+1/2,z'
'-x+1/2,y+1/2,z'
'x+1/2,-y+1/2,z'
loop_
_atom_site_label
_atom_site_fract_x
_atom_site_fract_y
_atom_site_fract_z
Mg1 0.0000 0.0000 0.0000
Mg2 0.0000 0.5000 0.2991
Sc1 0.0000 0.5000 0.6883
P1 0.0000 0.0000 0.5099

# Mg2ScP PBE optimized geometry
# E: -16.6 eV for the cell shown
# Fermi-level density of states: 2.5 states/eV per cell
# Formation enthalpy at 0 K: -0.4081 eV/atom
data_Mg2ScP
_space_group_name_H-M_alt 'P 4 m m'
_space_group_IT_number 99
_cell_length_a 3.5982
_cell_length_b 3.5982
_cell_length_c 6.1364
_cell_angle_alpha 90.00
_cell_angle_beta 90.00
_cell_angle_gamma 90.00
loop_
_space_group_symop_operation_xyz
'x,y,z'
'-y,x,z'
'-x,-y,z'
'y,-x,z'
'-x,y,z'
'y,x,z'
'x,-y,z'
'-y,-x,z'
loop_
_atom_site_label
_atom_site_fract_x
_atom_site_fract_y
_atom_site_fract_z
Mg1 0.0000 0.0000 0.0000
Mg2 0.5000 0.5000 0.2546
Sc1 0.5000 0.5000 0.7201
P1 0.0000 0.0000 0.5552

# Mg2ScP PBE optimized geometry
# E: -64.8 eV for the cell shown
# Fermi-level density of states: 4.5 states/eV per cell
# Formation enthalpy at 0 K: -0.3180 eV/atom
data_Mg2ScP
_space_group_name_H-M_alt 'F m m m'
_space_group_IT_number 69
_space_group_name_Hall '-F 2 2'
_cell_length_a 5.4747
_cell_length_b 5.4859
_cell_length_c 11.0283
_cell_angle_alpha 90.00
_cell_angle_beta 90.00
_cell_angle_gamma 90.00
loop_
_atom_site_label
_atom_site_fract_x
_atom_site_fract_y
_atom_site_fract_z
Mg1 0.2500 0.0000 0.2500
Sc1 0.0000 0.0000 0.0000
P1 0.0000 0.0000 0.5000

# Mg3ScP PBE optimized geometry
# E: -16.1 eV for the cell shown
# Fermi-level density of states: 3.2 states/eV per cell
# Energy above the lowest structure with this stoichiometry: 0.0000 eV per atom
# Formation enthalpy at 0 K: 0.0925 eV/atom
data_Mg3ScP
_space_group_name_H-M_alt 'P m -3 m'
_space_group_IT_number 221
_space_group_name_Hall '-P 4 2 3'
_cell_length_a 4.9419
_cell_length_b 4.9419
_cell_length_c 4.9419
_cell_angle_alpha 90.00
_cell_angle_beta 90.00
_cell_angle_gamma 90.00
loop_
_atom_site_label
_atom_site_fract_x
_atom_site_fract_y
_atom_site_fract_z
Mg1 0.0000 0.0000 0.5000
Sc1 0.5000 0.5000 0.5000
P1 0.0000 0.0000 0.0000

# YMgSc2P PBE optimized geometry
# E: -28.7 eV for the cell shown
# Fermi-level density of states: 7.0 states/eV per cell
# Formation enthalpy at 0 K: -0.5107 eV/atom
data_YMgSc2P
_space_group_name_H-M_alt 'P 4/m m m'
_space_group_IT_number 123
_space_group_name_Hall '-P 4 2'
_cell_length_a 4.9765
_cell_length_b 4.9765
_cell_length_c 5.3142
_cell_angle_alpha 90.00
_cell_angle_beta 90.00
_cell_angle_gamma 90.00
loop_
_atom_site_label
_atom_site_fract_x
_atom_site_fract_y
_atom_site_fract_z
Y1 0.0000 0.0000 0.0000
Mg1 0.5000 0.5000 0.0000
Sc1 0.0000 0.5000 0.5000
P1 0.0000 0.0000 0.5000